SrHgPd3Pb: relaxed, GGA-PBE.

Computed properties:
- formation energy from the elements (eV/atom) = -0.27
- final energy (eV/atom) = -3.815
- space group = Cmcm, No. 63

Cell: 5.810 5.926 9.516 Å, 108.14 90.00 90.00°
Fractional coordinates of all 12 atoms:
Sr 0.750 0.211 0.422
Sr 0.250 0.789 0.578
Hg 0.250 0.110 0.221
Hg 0.750 0.890 0.779
Pd 0.250 0.259 0.518
Pd 0.000 0.233 0.000
Pd 0.500 0.767 0.000
Pd 0.500 0.233 0.000
Pd 0.000 0.767 0.000
Pd 0.750 0.741 0.482
Pb 0.250 0.407 0.815
Pb 0.750 0.593 0.185

Sr2HgPd3Pb4: relaxed, GGA-PBE.

Computed properties:
- formation energy from the elements (eV/atom) = -0.40
- final energy (eV/atom) = -3.805
- space group = P-4m2, No. 115

Cell: 4.849 4.849 11.428 Å, 90.00 90.00 90.00°
Fractional coordinates of all 10 atoms:
Sr 0.500 0.000 0.253
Sr 0.000 0.500 0.747
Hg 0.500 0.500 0.500
Pd 0.000 0.000 0.500
Pd 0.500 0.000 0.875
Pd 0.000 0.500 0.125
Pb 0.500 0.500 0.000
Pb 0.000 0.000 0.000
Pb 0.500 0.000 0.639
Pb 0.000 0.500 0.361